(1)
A plane-wave DFT calculation with PBE-GGA was carried out for an optimized crystal structure of ZrCoGe2.

The value obtained for the size of the total moment is 1.0 μB/f.u. As for the calculated total energy: -6.2624 eV/atom.

It has space group F-43m (No. 216), with a = 6.403 Å, b = 6.403 Å, c = 6.403 Å, α = 90.00°, β = 90.00° and γ = 90.00°. Symmetry generates all atoms from Zr at (0.000, 0.000, 0.000), Co at (0.250, 0.250, 0.250), Ge at (0.000, 0.000, 0.500) and Ge at (0.250, 0.250, 0.750).


(2)
A plane-wave DFT calculation with PBE-GGA was carried out for an optimized crystal structure of Zr2CoGe.

The value obtained for the size of the total moment is 0.0 μB/f.u. As for the calculated total energy: -7.8063 eV/atom.

It has space group Pmc2_1 (No. 26), with a = 3.879 Å, b = 5.388 Å, c = 6.845 Å, α = 90.00°, β = 90.00° and γ = 90.00°. Symmetry generates all atoms from Zr at (0.000, 0.109, 0.000), Zr at (0.500, 0.363, 0.350), Co at (0.500, 0.105, 0.729) and Ge at (0.000, 0.385, 0.639).